Material: TbMg11Au
Method: DFT, PBE-GGA
State: optimized geometry

a b c (Å): 5.7308 7.6570 7.7344
angles (deg): 82.47 68.26 69.28
Element x y z (fractional)
Tb1 0.0000 0.0000 0.0000
Mg1 0.7016 0.7850 0.7937
Mg2 0.0000 0.0000 0.5000
Mg3 0.3551 0.6430 0.6575
Au1 0.5000 0.5000 0.0000
Mg4 0.5047 0.2150 0.7937
Mg5 0.0000 0.5000 0.0000
Mg6 0.2984 0.2150 0.2063
Mg7 0.0126 0.6430 0.3425
Mg8 0.9874 0.3570 0.6575
Mg9 0.4953 0.7850 0.2063
Mg10 0.5000 0.0000 0.5000
Mg11 0.6449 0.3570 0.3425

Computed properties:
Its space-group type is C2/m, No. 12. The raw total energy comes out at -0.1537 Ry per atom. The value obtained for the energy relative to the elements is -0.13 eV/atom. Its crystal system is monoclinic.

***

Material: TlGa2Ni2
Method: DFT, PBE-GGA
State: optimized geometry

a b c (Å): 7.3427 7.3427 2.8986
angles (deg): 90.00 90.00 90.00
Element x y z (fractional)
Ni1 0.3594 0.8594 0.0000
Ni2 0.8594 0.6406 0.0000
Tl1 0.5000 0.5000 0.0000
Ga1 0.6480 0.8520 0.5000
Ga2 0.3520 0.1480 0.5000
Tl2 0.0000 0.0000 0.0000
Ni3 0.1406 0.3594 0.0000
Ga3 0.8520 0.3520 0.5000
Ni4 0.6406 0.1406 0.0000
Ga4 0.1480 0.6480 0.5000

Computed properties:
Its space-group type is P4/mbm, No. 127. The raw total energy comes out at -0.2972 Ry per atom. The value obtained for the energy relative to the elements is -0.05 eV/atom. Its crystal system is tetragonal. Its excess energy over the best structure of this formula in the dataset is 0 meV per atom.

***

Material: SbOsRu2
Method: DFT, PBE-GGA
State: optimized geometry

a b c (Å): 2.9266 2.9266 7.3498
angles (deg): 90.00 90.00 90.00
Element x y z (fractional)
Ru1 0.5000 0.5000 0.2458
Os1 0.5000 0.5000 0.7652
Sb1 0.0000 0.0000 0.4934
Ru2 0.0000 0.0000 0.9957

Computed properties:
Its space-group type is P4mm, No. 99. The raw total energy comes out at -0.5909 Ry per atom. Its uncorrected formation energy is 0.4364 eV per atom. Its crystal system is tetragonal.

***

Material: BTeHRhAu
Method: DFT, PBE-GGA
State: optimized geometry

a b c (Å): 3.4666 3.9619 5.7278
angles (deg): 69.80 84.07 90.01
Element x y z (fractional)
Au1 0.4257 0.4494 0.3547
B1 0.3005 0.0263 0.2000
Te1 0.8556 0.1656 0.9221
H1 0.4098 0.7864 0.6821
Rh1 0.9630 0.8323 0.5890

Computed properties:
Its space-group type is Cm, No. 8. The raw total energy comes out at -0.3366 Ry per atom. Its crystal system is monoclinic. Its excess energy over the best structure of this formula in the dataset is 107 meV per atom.

***

Material: TcAs2Pt
Method: DFT, PBE-GGA
State: optimized geometry

a b c (Å): 5.2792 5.2792 5.2792
angles (deg): 138.31 138.31 60.43
Last column: magnetic moment on the atom in μB.
Element x y z (fractional)
As1 0.0000 0.0000 0.0000  -0.02
Tc1 0.7500 0.2500 0.5000  0.86
As2 0.2500 0.7500 0.5000  0.00
Pt1 0.5000 0.5000 0.0000  0.04

Computed properties:
Its space-group type is I-4m2, No. 119. The raw total energy comes out at -0.4586 Ry per atom. The value obtained for the energy relative to the elements is 0.19 eV/atom. Its crystal system is tetragonal. Its excess energy over the best structure of this formula in the dataset is 291 meV per atom.

***

Material: CeCuAu4
Method: DFT, PBE-GGA
State: optimized geometry

a b c (Å): 5.5545 5.5545 5.5545
angles (deg): 60.00 60.00 60.00
Last column: magnetic moment on the atom in μB.
Element x y z (fractional)
Cu1 0.0000 0.0000 0.0000  0.00
Au1 0.6256 0.6256 0.6256  0.01
Ce1 0.2500 0.2500 0.2500  0.76
Au2 0.6256 0.1231 0.6256  0.01
Au3 0.6256 0.6256 0.1231  0.01
Au4 0.1231 0.6256 0.6256  0.01

Computed properties:
Its space-group type is F-43m, No. 216. The raw total energy comes out at -0.3026 Ry per atom. The value obtained for the energy relative to the elements is -0.26 eV/atom. Its crystal system is cubic.

***

Material: NaCu6S4
Method: DFT, PBE-GGA
State: optimized geometry

a b c (Å): 3.6005 7.1760 7.1760
angles (deg): 120.00 90.00 90.00
Element x y z (fractional)
Cu1 0.5000 0.6021 0.8011
S1 0.5000 0.8217 0.1783
Na1 0.0000 0.0000 0.0000
Cu2 0.5000 0.1989 0.3979
Cu3 0.5000 0.1989 0.8011
S2 0.5000 0.8217 0.6433
Cu4 0.0000 0.9102 0.4551
Cu5 0.0000 0.5449 0.0898
S3 0.0000 0.3333 0.6667
Cu6 0.0000 0.5449 0.4551
S4 0.5000 0.3567 0.1783

Computed properties:
Its space-group type is P-6m2, No. 187. The raw total energy comes out at -0.2964 Ry per atom. Its uncorrected formation energy is -0.1776 eV per atom. Its crystal system is hexagonal.

***

Material: CrWI2N
Method: DFT, PBE-GGA
State: optimized geometry

a b c (Å): 5.5261 5.5261 3.5657
angles (deg): 90.00 90.00 90.00
Last column: magnetic moment on the atom in μB.
Element x y z (fractional)
W1 0.5000 0.5000 0.5000  2.56
I1 0.5000 0.0000 0.0000  -0.05
N1 0.0000 0.0000 0.5000  -0.31
Cr1 0.0000 0.0000 0.0000  2.47
I2 0.0000 0.5000 0.0000  -0.05

Computed properties:
Its space-group type is P4/mmm, No. 123. The raw total energy comes out at -0.4180 Ry per atom. Its uncorrected formation energy is 1.1131 eV per atom. Its crystal system is tetragonal. Its excess energy over the best structure of this formula in the dataset is 459 meV per atom.

***

Material: Pr2YPuP4
Method: DFT, PBE-GGA
State: optimized geometry

a b c (Å): 4.1077 7.0884 7.1028
angles (deg): 109.46 90.00 90.00
Last column: magnetic moment on the atom in μB.
Element x y z (fractional)
P1 0.5000 0.7583 0.7660  -0.08
Y1 0.5000 0.5000 0.0000  0.02
Pr1 0.0000 0.5000 0.5000  0.03
P2 0.0000 0.7483 0.2365  -0.05
Pr2 0.5000 0.0000 0.5000  0.03
Pu1 0.0000 0.0000 0.0000  4.88
P3 0.5000 0.2417 0.2340  -0.08
P4 0.0000 0.2517 0.7635  -0.05

Computed properties:
Its space-group type is P2/m, No. 10. The raw total energy comes out at -0.5833 Ry per atom. The value obtained for the energy relative to the elements is -1.44 eV/atom. Its crystal system is monoclinic.

***

Material: Na3GaAu4
Method: DFT, PBE-GGA
State: optimized geometry

a b c (Å): 6.6477 6.6477 6.6477
angles (deg): 94.20 106.19 130.39
Element x y z (fractional)
Na1 0.5710 0.7541 0.3251
Au1 0.2012 0.2526 0.4538
Ga1 0.0744 0.5000 0.5744
Au2 0.0531 0.7503 0.3028
Au3 0.5524 0.2497 0.3028
Na2 0.5710 0.2459 0.8169
Na3 0.9266 0.0000 0.9266
Au4 0.2012 0.7474 0.9487

Computed properties:
Its space-group type is Imm2, No. 44. The raw total energy comes out at -0.2047 Ry per atom. The value obtained for the energy relative to the elements is -0.27 eV/atom. Its crystal system is orthorhombic.

***

Material: AgTe2Br
Method: DFT, PBE-GGA
State: optimized geometry

a b c (Å): 5.6464 5.6464 3.2542
angles (deg): 90.00 90.00 90.00
Element x y z (fractional)
Br1 0.0000 0.5000 0.5000
Te1 0.0000 0.0000 0.0000
Te2 0.5000 0.5000 0.0000
Ag1 0.5000 0.0000 0.5000

Computed properties:
Its space-group type is P4/mmm, No. 123. The raw total energy comes out at -0.1747 Ry per atom. Its uncorrected formation energy is 0.3247 eV per atom. Its crystal system is tetragonal.

***

Material: Pu2BeSi4Rh3
Method: DFT, PBE-GGA
State: optimized geometry

a b c (Å): 4.0964 4.0964 9.8365
angles (deg): 90.00 90.00 90.00
Last column: magnetic moment on the atom in μB.
Element x y z (fractional)
Rh1 0.5000 0.0000 0.8728  -0.07
Rh2 0.0000 0.5000 0.1272  -0.07
Si1 0.0000 0.5000 0.3701  -0.03
Pu1 0.0000 0.5000 0.7447  5.00
Be1 0.5000 0.5000 0.5000  -0.04
Si2 0.5000 0.0000 0.6299  -0.03
Si3 0.0000 0.0000 0.0000  -0.02
Si4 0.5000 0.5000 0.0000  -0.01
Rh3 0.0000 0.0000 0.5000  -0.11
Pu2 0.5000 0.0000 0.2553  5.00

Computed properties:
Its space-group type is P-4m2, No. 115. The raw total energy comes out at -0.6094 Ry per atom. Its uncorrected formation energy is -0.6776 eV per atom. Its crystal system is tetragonal.